## Zn2GaIr (PBE-GGA)

Data for Zn2GaIr after structural relaxation.

Output
symmetry	P2_1/m, No. 11
total DFT energy (no corrections)	-3.7521	eV per atom
energy of formation from the pure elements	-0.57	eV/f.u.
M_tot	0.00	μB per formula unit

a = 4.347 Å, b = 5.060 Å, c = 6.593 Å
α = 90.00°, β = 108.82°, γ = 90.00°
Positions (direct):
Zn  0.182  0.001  0.361
Zn  0.182  0.499  0.361
Zn  0.818  0.501  0.639
Zn  0.818  0.999  0.639
Ga  0.424  0.250  0.856
Ga  0.576  0.750  0.144
Ir  0.370  0.750  0.744
Ir  0.630  0.250  0.256

---

## ZnGa6Ir2 (PBE-GGA)

Data for ZnGa6Ir2 after structural relaxation.

Output
symmetry	P2_1/c, No. 14
total DFT energy (no corrections)	-4.3333	eV per atom
energy of formation from the pure elements	-1.84	eV/f.u.
M_tot	0.00	μB per formula unit

a = 6.691 Å, b = 6.342 Å, c = 9.074 Å
α = 90.00°, β = 126.87°, γ = 90.00°
Positions (direct):
Zn  0.000  0.000  0.000
Zn  0.000  0.500  0.500
Ga  0.095  0.111  0.414
Ga  0.095  0.389  0.914
Ga  0.320  0.670  0.432
Ga  0.320  0.830  0.932
Ga  0.450  0.529  0.785
Ga  0.450  0.971  0.285
Ga  0.550  0.029  0.715
Ga  0.550  0.471  0.215
Ga  0.680  0.170  0.068
Ga  0.680  0.330  0.568
Ga  0.905  0.611  0.086
Ga  0.905  0.889  0.586
Ir  0.228  0.185  0.743
Ir  0.228  0.315  0.243
Ir  0.772  0.685  0.757
Ir  0.772  0.815  0.257

---

## Zn6GaIr2 (PBE-GGA)

Data for Zn6GaIr2 after structural relaxation.

Output
symmetry	C2/m, No. 12
total DFT energy (no corrections)	-3.3261	eV per atom
energy of formation from the pure elements	-1.54	eV/f.u.
M_tot	0.00	μB per formula unit

a = 6.384 Å, b = 6.384 Å, c = 5.956 Å
α = 109.47°, β = 109.47°, γ = 34.80°
Positions (direct):
Zn  0.103  0.103  0.153
Zn  0.226  0.226  0.846
Zn  0.327  0.327  0.500
Zn  0.673  0.673  0.500
Zn  0.774  0.774  0.154
Zn  0.897  0.897  0.847
Ga  0.000  0.000  0.500
Ir  0.445  0.445  0.193
Ir  0.555  0.555  0.807

---

## ZnGa2Ir (PBE-GGA)

Data for ZnGa2Ir after structural relaxation.

Output
symmetry	I4_1/amd, No. 141
total DFT energy (no corrections)	-4.1813	eV per atom
energy of formation from the pure elements	-0.54	eV/f.u.
M_tot	0.00	μB per formula unit

a = 7.004 Å, b = 7.004 Å, c = 7.004 Å
α = 97.21°, β = 97.21°, γ = 138.52°
Positions (direct):
Zn  0.375  0.625  0.750
Zn  0.625  0.375  0.250
Ga  0.000  0.000  0.000
Ga  0.000  0.000  0.500
Ga  0.000  0.500  0.000
Ga  0.500  0.000  0.500
Ir  0.125  0.875  0.250
Ir  0.875  0.125  0.750

---

## Zn6GaIr (PBE-GGA)

Data for Zn6GaIr after structural relaxation.

Output
symmetry	C2/m, No. 12
total DFT energy (no corrections)	-2.3591	eV per atom
energy of formation from the pure elements	0.66	eV/f.u.
M_tot	0.00	μB per formula unit

a = 5.725 Å, b = 5.725 Å, c = 5.264 Å
α = 101.92°, β = 101.92°, γ = 121.39°
Positions (direct):
Zn  0.009  0.009  0.257
Zn  0.241  0.700  0.242
Zn  0.300  0.759  0.758
Zn  0.700  0.241  0.242
Zn  0.759  0.300  0.758
Zn  0.991  0.991  0.743
Ga  0.500  0.500  0.000
Ir  0.500  0.500  0.500

---

## Zn2Ga2Ir (PBE-GGA)

Data for Zn2Ga2Ir after structural relaxation.

Output
symmetry	P4/mbm, No. 127
total DFT energy (no corrections)	-3.4354	eV per atom
energy of formation from the pure elements	0.29	eV/f.u.
M_tot	0.00	μB per formula unit

a = 6.575 Å, b = 6.575 Å, c = 3.681 Å
α = 90.00°, β = 90.00°, γ = 90.00°
Positions (direct):
Zn  0.163  0.337  0.000
Zn  0.337  0.837  0.000
Zn  0.663  0.163  0.000
Zn  0.837  0.663  0.000
Ga  0.140  0.640  0.500
Ga  0.360  0.140  0.500
Ga  0.640  0.860  0.500
Ga  0.860  0.360  0.500
Ir  0.000  0.000  0.500
Ir  0.500  0.500  0.500

---

## ZnGa2Ir (PBE-GGA)

Data for ZnGa2Ir after structural relaxation.

Output
symmetry	P4/mmm, No. 123
total DFT energy (no corrections)	-4.2238	eV per atom
energy of formation from the pure elements	-0.71	eV/f.u.
M_tot	0.00	μB per formula unit

a = 3.384 Å, b = 3.384 Å, c = 5.299 Å
α = 90.00°, β = 90.00°, γ = 90.00°
Positions (direct):
Zn  0.000  0.000  0.000
Ga  0.500  0.500  0.256
Ga  0.500  0.500  0.744
Ir  0.000  0.000  0.500

---

## ZnGaIr3 (PBE-GGA)

Data for ZnGaIr3 after structural relaxation.

Output
symmetry	Pm-3m, No. 221
total DFT energy (no corrections)	-4.9967	eV per atom
energy of formation from the pure elements	5.90	eV/f.u.
M_tot	0.00	μB per formula unit

a = 4.535 Å, b = 4.535 Å, c = 4.535 Å
α = 90.00°, β = 90.00°, γ = 90.00°
Positions (direct):
Zn  0.000  0.000  0.000
Ga  0.500  0.500  0.500
Ir  0.000  0.500  0.500
Ir  0.500  0.000  0.500
Ir  0.500  0.500  0.000